{"formula": "SnWF2", "functional": "PBE+U", "state": "relaxed", "lattice": [[4.1532, 0.0000, 0.0000], [0.0000, 4.1532, 0.0000], [2.0766, 2.0766, 8.2014]], "species": ["W", "F", "F", "W", "F", "Sn", "F", "Sn"], "frac_coords": [[0.7500, 0.2500, 0.5000], [0.0816, 0.6250, 0.2500], [0.3750, 0.3316, 0.7500], [0.0000, 0.0000, 0.0000], [0.8750, 0.9184, 0.7500], [0.5000, 0.5000, 0.0000], [0.6684, 0.1250, 0.2500], [0.2500, 0.7500, 0.5000]], "relative_energy_ev_per_atom": 0.164, "volume_a3_per_cell": 141.5, "magnetic_moment_mub_per_fu": 3.2, "space_group": "I-42d, No. 122"}